[1]
A plane-wave DFT calculation with PBE was carried out for a geometry-optimized SmGeNO structure.

It has space group P4/nmm (No. 129, origin choice 2), with a = 4.1881 Å, b = 4.1881 Å, c = 8.0375 Å, α = 90.00°, β = 90.00° and γ = 90.00°. The inequivalent atoms are Sm at (0.2500, 0.2500, 0.1288), Ge at (0.2500, 0.7500, 0.5000), N at (0.2500, 0.2500, 0.4139) and O at (0.2500, 0.7500, 0.0000).

The energy above the most stable polymorph in this dataset comes out at 81 kJ/mol of formula units.

---

[2]
A plane-wave DFT calculation with PBE was carried out for a geometry-optimized SmGeNO structure.

It has space group P4/nmm (No. 129, origin choice 2), with a = 4.8593 Å, b = 4.8593 Å, c = 4.9192 Å, α = 90.00°, β = 90.00° and γ = 90.00°. The inequivalent atoms are Sm at (0.2500, 0.7500, 0.0000), Ge at (0.2500, 0.2500, 0.4870), N at (0.2500, 0.2500, 0.1059) and O at (0.2500, 0.7500, 0.5000).

The energy above the most stable polymorph in this dataset comes out at 83 kJ/mol of formula units.

---

[3]
A plane-wave DFT calculation with PBE was carried out for a geometry-optimized SmGeNO structure.

It has space group Pmc2_1 (No. 26), with a = 3.6967 Å, b = 7.0107 Å, c = 5.1039 Å, α = 90.00°, β = 90.00° and γ = 90.00°. The inequivalent atoms are Sm at (0.0000, 0.2033, 0.0000), Ge at (0.5000, 0.2498, 0.4749), N at (0.0000, 0.1265, 0.5188) and O at (0.5000, 0.3429, 0.8155).

The energy above the most stable polymorph in this dataset comes out at 76 kJ/mol of formula units.

---

[4]
A plane-wave DFT calculation with PBE was carried out for a geometry-optimized SmGeNO structure.

It has space group Pmc2_1 (No. 26), with a = 4.0398 Å, b = 6.4567 Å, c = 4.9231 Å, α = 90.00°, β = 90.00° and γ = 90.00°. The inequivalent atoms are Sm at (0.0000, 0.2060, 0.0000), Ge at (0.5000, 0.3288, 0.4614), N at (0.5000, 0.3753, 0.8393) and O at (0.0000, 0.1371, 0.5327).

The energy above the most stable polymorph in this dataset comes out at 63 kJ/mol of formula units.

---

[5]
A plane-wave DFT calculation with PBE was carried out for a geometry-optimized SmGeNO structure.

It has space group Pca2_1 (No. 29), with a = 6.5473 Å, b = 6.6698 Å, c = 5.5593 Å, α = 90.00°, β = 90.00° and γ = 90.00°. The inequivalent atoms are Sm at (0.0698, 0.1864, 0.0000), Ge at (0.1078, 0.6766, 0.0069), N at (0.0880, 0.1250, 0.5790) and O at (0.0395, 0.4761, 0.2512).

The energy above the most stable polymorph in this dataset comes out at 50 kJ/mol of formula units.

---

[6]
A plane-wave DFT calculation with PBE was carried out for a geometry-optimized TcGeNO structure.

It has space group Cmme (No. 67), with a = 5.2447 Å, b = 6.4720 Å, c = 6.1284 Å, α = 90.00°, β = 90.00° and γ = 90.00°. The inequivalent atoms are Tc at (0.0000, 0.2500, 0.0334), Ge at (0.2500, 0.0000, 0.5000), N at (0.0000, 0.2500, 0.3368) and O at (0.2500, 0.0000, 0.0000).

The energy above the most stable polymorph in this dataset comes out at 201 kJ/mol of formula units.

---

[7]
A plane-wave DFT calculation with PBE was carried out for a geometry-optimized TcGeNO structure.

It has space group Pca2_1 (No. 29), with a = 5.8607 Å, b = 6.7130 Å, c = 4.9574 Å, α = 90.00°, β = 90.00° and γ = 90.00°. The inequivalent atoms are Tc at (0.0951, 0.0095, 0.0000), Ge at (0.1082, 0.3797, 0.8655), N at (0.1094, 0.4497, 0.5075) and O at (0.1618, 0.8441, 0.6763).

The energy above the most stable polymorph in this dataset comes out at 22 kJ/mol of formula units.

---

[8]
A plane-wave DFT calculation with PBE was carried out for a geometry-optimized TcGeNO structure.

It has space group P4/nmm (No. 129, origin choice 2), with a = 3.7309 Å, b = 3.7309 Å, c = 8.3166 Å, α = 90.00°, β = 90.00° and γ = 90.00°. The inequivalent atoms are Tc at (0.2500, 0.7500, 0.0000), Ge at (0.2500, 0.2500, 0.3787), N at (0.2500, 0.2500, 0.9033) and O at (0.2500, 0.7500, 0.5000).

The energy above the most stable polymorph in this dataset comes out at 48 kJ/mol of formula units.

---

[9]
A plane-wave DFT calculation with PBE was carried out for a geometry-optimized TcGeNO structure.

It has space group Pmc2_1 (No. 26), with a = 3.1027 Å, b = 5.7964 Å, c = 5.1553 Å, α = 90.00°, β = 90.00° and γ = 90.00°. The inequivalent atoms are Tc at (0.0000, 0.0975, 0.0000), Ge at (0.5000, 0.2656, 0.5523), N at (0.0000, 0.2529, 0.3533) and O at (0.5000, 0.3473, 0.8987).

The energy above the most stable polymorph in this dataset comes out at 66 kJ/mol of formula units.

---

[10]
A plane-wave DFT calculation with PBE was carried out for a geometry-optimized TcGeNO structure.

It has space group P4/nmm (No. 129, origin choice 2), with a = 4.4487 Å, b = 4.4487 Å, c = 4.3699 Å, α = 90.00°, β = 90.00° and γ = 90.00°. The inequivalent atoms are Tc at (0.2500, 0.2500, 0.0045), Ge at (0.2500, 0.7500, 0.5000), N at (0.2500, 0.2500, 0.5133) and O at (0.2500, 0.7500, 0.0000).

The energy above the most stable polymorph in this dataset comes out at 235 kJ/mol of formula units.

---

[11]
A plane-wave DFT calculation with PBE was carried out for a geometry-optimized TcGeNO structure.

It has space group Pmc2_1 (No. 26), with a = 2.8235 Å, b = 4.5715 Å, c = 6.8886 Å, α = 90.00°, β = 90.00° and γ = 90.00°. The inequivalent atoms are Tc at (0.0000, 0.0213, 0.0000), Ge at (0.5000, 0.4318, 0.8320), N at (0.5000, 0.2709, 0.5699) and O at (0.0000, 0.2494, 0.2479).

The energy above the most stable polymorph in this dataset comes out at 0 kJ/mol of formula units.

---

[12]
A plane-wave DFT calculation with PBE was carried out for a geometry-optimized TmGeNO structure.

It has space group Pmc2_1 (No. 26), with a = 3.8182 Å, b = 6.4831 Å, c = 4.8772 Å, α = 90.00°, β = 90.00° and γ = 90.00°. The inequivalent atoms are Tm at (0.0000, 0.1989, 0.0000), Ge at (0.5000, 0.3314, 0.4746), N at (0.5000, 0.3707, 0.8593) and O at (0.0000, 0.1242, 0.5651).

The energy above the most stable polymorph in this dataset comes out at 136 kJ/mol of formula units.

---

[13]
A plane-wave DFT calculation with PBE was carried out for a geometry-optimized TmGeNO structure.

It has space group P4/nmm (No. 129, origin choice 2), with a = 3.9830 Å, b = 3.9830 Å, c = 7.1294 Å, α = 90.00°, β = 90.00° and γ = 90.00°. The inequivalent atoms are Tm at (0.2500, 0.2500, 0.1374), Ge at (0.2500, 0.7500, 0.5000), N at (0.2500, 0.2500, 0.6289) and O at (0.2500, 0.7500, 0.0000).

The energy above the most stable polymorph in this dataset comes out at 221 kJ/mol of formula units.

---

[14]
A plane-wave DFT calculation with PBE was carried out for a geometry-optimized TmGeNO structure.

It has space group Pca2_1 (No. 29), with a = 5.4186 Å, b = 8.0134 Å, c = 5.2657 Å, α = 90.00°, β = 90.00° and γ = 90.00°. The inequivalent atoms are Tm at (0.0137, 0.1341, 0.0000), Ge at (0.0413, 0.6145, 0.9903), N at (0.1068, 0.5931, 0.6085) and O at (0.2478, 0.9883, 0.2484).

The energy above the most stable polymorph in this dataset comes out at 0 kJ/mol of formula units.

---

[15]
A plane-wave DFT calculation with PBE was carried out for a geometry-optimized TmGeNO structure.

It has space group Pmc2_1 (No. 26), with a = 3.2267 Å, b = 5.4688 Å, c = 5.9766 Å, α = 90.00°, β = 90.00° and γ = 90.00°. The inequivalent atoms are Tm at (0.0000, 0.1251, 0.0000), Ge at (0.5000, 0.3943, 0.5103), N at (0.0000, 0.2678, 0.6416) and O at (0.5000, 0.1122, 0.2887).

The energy above the most stable polymorph in this dataset comes out at 83 kJ/mol of formula units.

---

[16]
A plane-wave DFT calculation with PBE was carried out for a geometry-optimized TmGeNO structure.

It has space group P4/nmm (No. 129, origin choice 2), with a = 4.7067 Å, b = 4.7067 Å, c = 4.8028 Å, α = 90.00°, β = 90.00° and γ = 90.00°. The inequivalent atoms are Tm at (0.2500, 0.7500, 0.0000), Ge at (0.2500, 0.2500, 0.4867), N at (0.2500, 0.2500, 0.0883) and O at (0.2500, 0.7500, 0.5000).

The energy above the most stable polymorph in this dataset comes out at 139 kJ/mol of formula units.

---

[17]
A plane-wave DFT calculation with PBE was carried out for a geometry-optimized TmGeNO structure.

It has space group Pca2_1 (No. 29), with a = 6.3186 Å, b = 6.6710 Å, c = 5.3600 Å, α = 90.00°, β = 90.00° and γ = 90.00°. The inequivalent atoms are Tm at (0.0744, 0.1674, 0.0000), Ge at (0.1139, 0.6696, 0.9962), N at (0.0846, 0.1267, 0.5847) and O at (0.0556, 0.4504, 0.2176).

The energy above the most stable polymorph in this dataset comes out at 112 kJ/mol of formula units.

---

[18]
A plane-wave DFT calculation with PBE was carried out for a geometry-optimized Ta4GePN2 structure.

It has space group P-6m2 (No. 187), with a = 3.2542 Å, b = 3.2542 Å, c = 11.9564 Å, α = 90.00°, β = 90.00° and γ = 120.00°. The inequivalent atoms are Ta at (0.0000, 0.0000, 0.1444), Ta at (0.6667, 0.3333, 0.3351), Ge at (0.0000, 0.0000, 0.5000), P at (0.6667, 0.3333, 0.0000) and N at (0.3333, 0.6667, 0.2450).

The total DFT energy (no corrections) comes out at -9.901 eV per atom.

---

[19]
A plane-wave DFT calculation with PBE was carried out for a geometry-optimized Ta4GePN2 structure.

It has space group P-6m2 (No. 187), with a = 3.2547 Å, b = 3.2547 Å, c = 11.9424 Å, α = 90.00°, β = 90.00° and γ = 120.00°. The inequivalent atoms are Ta at (0.0000, 0.0000, 0.1446), Ta at (0.3333, 0.6667, 0.3352), Ge at (0.0000, 0.0000, 0.5000), P at (0.3333, 0.6667, 0.0000) and N at (0.6667, 0.3333, 0.2447).

The total DFT energy (no corrections) comes out at -9.901 eV per atom.

---

[20]
A plane-wave DFT calculation with PBE was carried out for a geometry-optimized GePW4N2 structure.

It has space group P-6m2 (No. 187), with a = 2.9446 Å, b = 2.9446 Å, c = 13.4701 Å, α = 90.00°, β = 90.00° and γ = 120.00°. The inequivalent atoms are Ge at (0.0000, 0.0000, 0.0000), P at (0.3333, 0.6667, 0.5000), W at (0.0000, 0.0000, 0.3646), W at (0.3333, 0.6667, 0.1555) and N at (0.6667, 0.3333, 0.2574).

The total DFT energy (no corrections) comes out at -9.634 eV per atom.